1.
VASP calculation (PBE) on a geometry-optimized Fe3I structure.

a = 6.270 Å, b = 6.270 Å, c = 4.132 Å
α = 90.00°, β = 90.00°, γ = 120.00°
Last column: magnetic moment on the atom in μB.
Fractional coordinates of all 8 atoms:
Fe 0.128 0.872 0.250  2.75
I 0.667 0.333 0.250  0.09
Fe 0.872 0.743 0.750  2.72
Fe 0.872 0.128 0.750  2.75
Fe 0.257 0.128 0.750  2.55
Fe 0.743 0.872 0.250  2.56
Fe 0.128 0.257 0.250  2.72
I 0.333 0.667 0.750  0.09

Output
E above lowest polymorph, eV/atom: 0.000
DFT total energy, eV/atom: -6.06
Symmetry: P6_3/mmc, No. 194


2.
VASP calculation (PBE) on a geometry-optimized Fe3I structure.

a = 3.900 Å, b = 3.900 Å, c = 3.900 Å
α = 90.00°, β = 90.00°, γ = 90.00°
Last column: magnetic moment on the atom in μB.
Fractional coordinates of all 4 atoms:
Fe 0.500 0.500 0.000  2.59
Fe 0.000 0.500 0.500  2.55
I 0.000 0.000 0.000  0.10
Fe 0.500 0.000 0.500  2.83

Output
E above lowest polymorph, eV/atom: 0.178
DFT total energy, eV/atom: -5.88
Symmetry: Pm-3m, No. 221


3.
VASP calculation (PBE) on a geometry-optimized Fe3I structure.

a = 4.904 Å, b = 4.904 Å, c = 4.904 Å
α = 134.73°, β = 134.73°, γ = 65.95°
Last column: magnetic moment on the atom in μB.
Fractional coordinates of all 4 atoms:
Fe 0.250 0.750 0.500  2.64
I 0.000 0.000 0.000  0.06
Fe 0.750 0.250 0.500  2.64
Fe 0.500 0.500 0.000  2.43

Output
E above lowest polymorph, eV/atom: 0.192
DFT total energy, eV/atom: -5.87
Symmetry: I4/mmm, No. 139


4.
VASP calculation (PBE) on a geometry-optimized FeI structure.

a = 4.051 Å, b = 3.705 Å, c = 6.669 Å
α = 90.00°, β = 90.00°, γ = 90.00°
Last column: magnetic moment on the atom in μB.
Fractional coordinates of all 4 atoms:
I 0.250 0.500 0.755  0.12
Fe 0.250 0.000 0.095  2.79
Fe 0.750 0.000 0.905  2.79
I 0.750 0.500 0.245  0.12

Output
E above lowest polymorph, eV/atom: 0.000
DFT total energy, eV/atom: -4.47
Symmetry: Pmma, No. 51


Among the records above, which one has the highest DFT total energy? FeI


DFT total energy of number 1 (Fe3I)? -6.06 eV/atom


Which value of E above lowest polymorph does entry 3 give? 0.192 eV/atom